PuCoCu2O8: relaxed, PBE with a Hubbard U.

a b c (Å): 5.711 5.711 5.711
angles (deg): 112.93 112.93 102.76
Element x y z (fractional)
Pu 0.000 0.000 0.000
Co 0.750 0.250 0.500
Cu 0.250 0.750 0.500
Cu 0.500 0.500 0.000
O 0.057 0.353 0.296
O 0.057 0.761 0.704
O 0.097 0.303 0.794
O 0.239 0.943 0.296
O 0.509 0.303 0.206
O 0.647 0.943 0.704
O 0.697 0.491 0.794
O 0.697 0.903 0.206

Values from the calculation:
For the density of states at the Fermi level, the calculation gives 8.9 states/eV per cell. The raw total energy is -6.51 eV per atom.